# Dy7Cu3Te12 GGA-PBE optimized geometry
# size of the total moment	0.00	μB/f.u.
# formation energy without anion corrections	-2387	kJ/mol of formula units
# calculated density	6.9	g/cm3
data_Dy7Cu3Te12
_cell_length_a 7.5262
_cell_length_b 7.5271
_cell_length_c 14.2622
_cell_angle_alpha 80.03
_cell_angle_beta 85.10
_cell_angle_gamma 60.02
_space_group_name_H-M_alt 'P 1'
_space_group_IT_number 1
loop_
_space_group_symop_operation_xyz
'x,y,z'
loop_
_atom_site_label
_atom_site_type_symbol
_atom_site_fract_x
_atom_site_fract_y
_atom_site_fract_z
Dy1 Dy 0.0000 0.0000 0.0000
Dy2 Dy 0.0017 0.4142 0.7435
Dy3 Dy 0.0061 0.8220 0.4914
Dy4 Dy 0.3314 0.1702 0.4914
Dy5 Dy 0.3394 0.3187 0.9997
Dy6 Dy 0.6691 0.6583 0.9998
Dy7 Dy 0.6742 0.4958 0.4909
Cu1 Cu 0.3349 0.5480 0.3328
Cu2 Cu 0.3375 0.9375 0.1719
Cu3 Cu 0.6725 0.2661 0.1720
Te1 Te 0.0035 0.2905 0.1316
Te2 Te 0.0038 0.1192 0.6200
Te3 Te 0.0047 0.6988 0.8741
Te4 Te 0.3285 0.6153 0.1313
Te5 Te 0.3345 0.0332 0.8719
Te6 Te 0.3372 0.8766 0.3639
Te7 Te 0.3392 0.4530 0.6214
Te8 Te 0.6684 0.3698 0.8719
Te9 Te 0.6694 0.7881 0.6199
Te10 Te 0.6756 0.1986 0.3640
Te11 Te 0.6785 0.9408 0.1300
Te12 Te 0.9978 0.5386 0.3627

# NbCoP GGA-PBE optimized geometry
# formation energy from the elements	-0.8949	eV per atom
# size of the total moment	0.00	μB/f.u.
# calculated density	7.9	g/cm3
data_NbCoP
_cell_length_a 6.1456
_cell_length_b 3.6063
_cell_length_c 6.9745
_cell_angle_alpha 90.00
_cell_angle_beta 90.00
_cell_angle_gamma 90.00
_space_group_name_H-M_alt 'P n m a'
_space_group_IT_number 62
loop_
_space_group_symop_operation_xyz
'x,y,z'
'-x,-y,-z'
'-x+1/2,-y,z+1/2'
'x+1/2,y,-z+1/2'
'x+1/2,-y+1/2,-z+1/2'
'-x+1/2,y+1/2,z+1/2'
'-x,y+1/2,-z'
'x,-y+1/2,z'
loop_
_atom_site_label
_atom_site_type_symbol
_atom_site_fract_x
_atom_site_fract_y
_atom_site_fract_z
Nb1 Nb 0.0258 0.2500 0.1725
Co1 Co 0.1459 0.2500 0.5613
P1 P 0.2215 0.7500 0.3798

# Pr2NdHo GGA-PBE optimized geometry
# formation energy from the elements	0.0147	eV per atom
# energy above the lowest structure with this stoichiometry	0	meV per atom
# size of the total moment	0.00	μB/f.u.
# calculated density	7.1	g/cm3
data_Pr2NdHo
_cell_length_a 5.1790
_cell_length_b 5.1790
_cell_length_c 5.1578
_cell_angle_alpha 90.00
_cell_angle_beta 90.00
_cell_angle_gamma 90.00
_space_group_name_H-M_alt 'P 4/m m m'
_space_group_IT_number 123
_space_group_name_Hall '-P 4 2'
loop_
_atom_site_label
_atom_site_type_symbol
_atom_site_fract_x
_atom_site_fract_y
_atom_site_fract_z
Pr1 Pr 0.0000 0.5000 0.0000
Nd1 Nd 0.0000 0.0000 0.5000
Ho1 Ho 0.5000 0.5000 0.5000

What did the third record say?
# Pr2NdHo GGA-PBE optimized geometry
# formation energy from the elements	0.0147	eV per atom
# energy above the lowest structure with this stoichiometry	0	meV per atom
# size of the total moment	0.00	μB/f.u.
# calculated density	7.1	g/cm3
data_Pr2NdHo
_cell_length_a 5.1790
_cell_length_b 5.1790
_cell_length_c 5.1578
_cell_angle_alpha 90.00
_cell_angle_beta 90.00
_cell_angle_gamma 90.00
_space_group_name_H-M_alt 'P 4/m m m'
_space_group_IT_number 123
_space_group_name_Hall '-P 4 2'
loop_
_atom_site_label
_atom_site_type_symbol
_atom_site_fract_x
_atom_site_fract_y
_atom_site_fract_z
Pr1 Pr 0.0000 0.5000 0.0000
Nd1 Nd 0.0000 0.0000 0.5000
Ho1 Ho 0.5000 0.5000 0.5000

- size of the total moment of number 1 (Dy7Cu3Te12)?
  0.00 μB/f.u.

- What is the formula in the second record?
  NbCoP

Repeat the second record exactly.
# NbCoP GGA-PBE optimized geometry
# formation energy from the elements	-0.8949	eV per atom
# size of the total moment	0.00	μB/f.u.
# calculated density	7.9	g/cm3
data_NbCoP
_cell_length_a 6.1456
_cell_length_b 3.6063
_cell_length_c 6.9745
_cell_angle_alpha 90.00
_cell_angle_beta 90.00
_cell_angle_gamma 90.00
_space_group_name_H-M_alt 'P n m a'
_space_group_IT_number 62
loop_
_space_group_symop_operation_xyz
'x,y,z'
'-x,-y,-z'
'-x+1/2,-y,z+1/2'
'x+1/2,y,-z+1/2'
'x+1/2,-y+1/2,-z+1/2'
'-x+1/2,y+1/2,z+1/2'
'-x,y+1/2,-z'
'x,-y+1/2,z'
loop_
_atom_site_label
_atom_site_type_symbol
_atom_site_fract_x
_atom_site_fract_y
_atom_site_fract_z
Nb1 Nb 0.0258 0.2500 0.1725
Co1 Co 0.1459 0.2500 0.5613
P1 P 0.2215 0.7500 0.3798